The following is a DFT calculation (GGA-PBE) of a relaxed Ce3NdS6 crystal.

Cell lengths 6.8711, 7.4715, 10.3191 Å; angles 90.00, 89.44, 90.00 degrees
With the nearest neighbours (Å) after each atom.
Sites, in units of the cell vectors:
1 S 0.8184 0.6866 0.9140  3 Ce 2.74-3.04, 1 Nd 2.80
2 S 0.6816 0.1866 0.5860  3 Ce 2.74-3.04, 1 Nd 2.80
3 S 0.1770 0.3129 0.4188  1 Nd 2.76, 2 Ce 2.76-2.86
4 S 0.8230 0.6871 0.5812  1 Nd 2.76, 2 Ce 2.76-2.86
5 S 0.6770 0.1871 0.9188  1 Nd 2.76, 2 Ce 2.76-2.86
6 S 0.3230 0.8129 0.0812  1 Nd 2.76, 2 Ce 2.76-2.86
7 S 0.1600 0.0715 0.7483  3 Ce 2.85-2.88, 1 Nd 2.86
8 S 0.6600 0.4285 0.2483  3 Ce 2.85-2.88, 1 Nd 2.86
9 S 0.8400 0.9285 0.2517  3 Ce 2.85-2.88, 1 Nd 2.86
10 S 0.3400 0.5715 0.7517  3 Ce 2.85-2.88, 1 Nd 2.86
11 S 0.1816 0.3134 0.0860  3 Ce 2.74-3.04, 1 Nd 2.80
12 S 0.3184 0.8134 0.4140  3 Ce 2.74-3.04, 1 Nd 2.80
13 Nd 0.0000 0.0000 0.0000  6 S 2.76-2.86
14 Nd 0.5000 0.5000 0.5000  6 S 2.76-2.86
15 Ce 0.0392 0.5914 0.2534  6 S 2.86-3.10
16 Ce 0.5000 0.5000 0.0000  6 S 2.74-2.85
17 Ce 0.4608 0.0914 0.2466  6 S 2.86-3.10
18 Ce 0.9608 0.4086 0.7466  6 S 2.86-3.10
19 Ce 0.0000 0.0000 0.5000  6 S 2.74-2.85
20 Ce 0.5392 0.9086 0.7534  6 S 2.86-3.10

Theoretical density, g cm⁻³: 4.75
Raw total energy, eV per atom: -6.659
Calculated volume, Å³/f.u.: 265
Uncorrected formation energy, meV per atom: -1925
Crystal system: monoclinic
Symmetry: No. 14
Magnetization, μB/f.u.: 3.01